[1]
TeMoOs2 | PBE-GGA | optimized geometry

Properties
raw formation energy: 0.99 eV per atom
crystal system: orthorhombic

Cell lengths 2.910, 4.918, 9.700 Å; angles 90.00, 90.00, 90.00 degrees
Space group Cmm2 (No. 35)
One atom of each set of equivalent atoms:
1 Te 0.000 0.000 0.000 (multiplicity 2)
2 Mo 0.000 0.500 0.722 (multiplicity 2)
3 Os 0.000 0.000 0.496 (multiplicity 2)
4 Os 0.000 0.500 0.268 (multiplicity 2)


[2]
CePaNi4 | PBE-GGA | optimized geometry

Properties
formation energy: -0.362 eV/atom
crystal system: cubic

Cell lengths 7.145, 7.145, 7.145 Å; angles 90.00, 90.00, 90.00 degrees
Space group F-43m (No. 216)
One atom of each set of equivalent atoms:
1 Ce 0.000 0.000 0.000 (multiplicity 4)
2 Pa 0.250 0.250 0.750 (multiplicity 4)
3 Ni 0.125 0.125 0.375 (multiplicity 16)


[3]
Sm4GaTe2Br | PBE-GGA | optimized geometry

Properties
raw formation energy: -1.16 eV per atom
crystal system: monoclinic

Cell lengths 7.534, 4.337, 7.616 Å; angles 90.00, 109.03, 90.00 degrees
Space group P2/m (No. 10)
One atom of each set of equivalent atoms:
1 Sm 0.229 0.000 0.228 (multiplicity 2)
2 Sm 0.235 0.500 0.764 (multiplicity 2)
3 Ga 0.000 0.500 0.000 (multiplicity 1)
4 Te 0.000 0.000 0.500 (multiplicity 1)
5 Te 0.500 0.500 0.500 (multiplicity 1)
6 Br 0.500 0.000 0.000 (multiplicity 1)


[4]
TiSe2SBr | PBE-GGA | optimized geometry

Properties
raw formation energy: 0.02 eV per atom
crystal system: tetragonal

Cell lengths 4.933, 4.933, 5.180 Å; angles 90.00, 90.00, 90.00 degrees
Space group P4/mmm (No. 123)
One atom of each set of equivalent atoms:
1 Ti 0.000 0.000 0.000 (multiplicity 1)
2 Se 0.000 0.500 0.000 (multiplicity 2)
3 S 0.500 0.500 0.500 (multiplicity 1)
4 Br 0.000 0.000 0.500 (multiplicity 1)